i) The following is a DFT calculation (GGA-PBE) of crystalline Ca3Mg2Pb4 at its relaxed geometry. Values from VASP.

Calculated values
As for the crystal system: monoclinic. As for the symmetry: No. 12.

```
&SYSTEM
  ibrav = 0, nat = 9, ntyp = 3
/
ATOMIC_SPECIES
Ca 40.08 Ca.upf
Mg 24.30 Mg.upf
Pb 207.20 Pb.upf
CELL_PARAMETERS angstrom
-0.665 4.363 1.886
2.033 -4.351 4.674
7.801 2.993 -4.173
ATOMIC_POSITIONS crystal
Ca 0.615 0.231 0.704
Ca 0.000 0.000 0.000
Ca 0.385 0.769 0.296
Mg 0.706 0.412 0.385
Mg 0.294 0.588 0.615
Pb 0.697 0.394 0.069
Pb 0.303 0.606 0.931
Pb 0.930 0.860 0.620
Pb 0.070 0.140 0.380
```



ii) The following is a DFT calculation (GGA-PBE) of crystalline Ca3Mg2Pb4 at its relaxed geometry. Values from VASP.

Calculated values
As for the crystal system: triclinic. As for the symmetry: No. 2.

```
&SYSTEM
  ibrav = 0, nat = 9, ntyp = 3
/
ATOMIC_SPECIES
Ca 40.08 Ca.upf
Mg 24.30 Mg.upf
Pb 207.20 Pb.upf
CELL_PARAMETERS angstrom
-0.517 4.592 1.846
-7.353 0.345 -1.077
1.440 -5.880 5.782
ATOMIC_POSITIONS crystal
Ca 0.178 0.601 0.255
Ca 0.822 0.399 0.745
Ca 0.000 0.000 0.000
Mg 0.658 0.004 0.353
Mg 0.342 0.996 0.647
Pb 0.486 0.706 0.976
Pb 0.126 0.276 0.425
Pb 0.514 0.294 0.024
Pb 0.874 0.724 0.575
```



What should be chosen as the most stable of them? Choose i).